Compound: V2PPbO8
Source: Alexandria
Functional: PBE+U
Structure: optimized geometry

The structure in POSCAR format:
```
V2PPbO8
1.0
5.104 0.000 0.000
-2.552 4.420 0.000
0.000 0.000 6.963
V P Pb O
2 1 1 8
direct
0.333 0.667 0.210
0.667 0.333 0.790
0.000 0.000 0.000
0.000 0.000 0.500
0.038 0.289 0.146
0.251 0.962 0.146
0.289 0.251 0.854
0.333 0.667 0.453
0.667 0.333 0.547
0.711 0.749 0.146
0.749 0.038 0.854
0.962 0.711 0.854
```

Computed properties:
Magnetic moment in μB/cell: 1.0
SG: P-3 (147)
Total DFT energy (no corrections) in Ry per atom: -0.51114